No. 1
DFT (PBE-GGA) results for a relaxed structure of TmTh2Al.

Summary:
Distance to the lowest polymorph of the same formula = 330 meV/atom
Space group = No. 166

a b c (Å): 11.9852 11.9852 11.9852
angles (deg): 16.10 16.10 16.10
With the nearest neighbours (Å) after each atom.
Positions (direct):
Tm1 0.0000 0.0000 0.0000  2 Th 3.29, 6 Tm 3.36
Th1 0.0928 0.0928 0.0928  3 Al 3.26, 1 Tm 3.29, 6 Th 3.36
Th2 0.9072 0.9072 0.9072  3 Al 3.26, 1 Tm 3.29, 6 Th 3.36
Al1 0.5000 0.5000 0.5000  6 Th 3.26, 6 Al 3.36



No. 2
DFT (PBE-GGA) results for a relaxed structure of TmThAl3.

Summary:
Space group = No. 63

a b c (Å): 13.3041 13.3041 4.3106
angles (deg): 90.00 90.00 161.75
With the nearest neighbours (Å) after each atom.
Positions (direct):
Tm1 0.2059 0.7941 0.7500  7 Al 3.07-3.12
Tm2 0.7941 0.2059 0.2500  7 Al 3.07-3.12
Th1 0.0735 0.9265 0.2500  12 Al 3.27-3.42
Th2 0.9265 0.0735 0.7500  12 Al 3.27-3.42
Al1 0.3239 0.6761 0.7500  2 Al 2.59
Al2 0.3788 0.6212 0.2500  3 Al 2.54-2.59
Al3 0.4754 0.5246 0.2500  3 Al 2.51-2.54
Al4 0.5246 0.4754 0.7500  3 Al 2.51-2.54
Al5 0.6212 0.3788 0.7500  3 Al 2.54-2.59
Al6 0.6761 0.3239 0.2500  2 Al 2.59



No. 3
DFT (PBE-GGA) results for a relaxed structure of Tm2ThAl.

Summary:
Distance to the lowest polymorph of the same formula = 293 meV/atom
Space group = No. 166

a b c (Å): 11.5496 11.5496 11.5496
angles (deg): 16.89 16.89 16.89
With the nearest neighbours (Å) after each atom.
Positions (direct):
Tm1 0.0995 0.0995 0.0995  3 Al 3.02
Tm2 0.9005 0.9005 0.9005  3 Al 3.02
Th1 0.0000 0.0000 0.0000  6 Th 3.39, 2 Tm 3.40
Al1 0.5000 0.5000 0.5000  6 Tm 3.02



Number 1: formation energy 0.79 eV/f.u.. Number 2: formation energy -2.06 eV/f.u.. Number 3: formation energy 0.40 eV/f.u..